Record 1
VASP calculation (PBE-GGA) on an optimized crystal structure of TlZnBr3.

Cell: 5.262 5.262 5.262 Å, 90.00 90.00 90.00°
Positions (direct):
1 Tl 0.000 0.000 0.000
2 Zn 0.500 0.500 0.500
3 Br 0.000 0.500 0.500
4 Br 0.500 0.000 0.500
5 Br 0.500 0.500 0.000

Calculated values
**Energy relative to the lowest polymorph listed for this composition**: 128 meV/atom
**Size of the total moment**: 0.0 μB per cell
**Calculated volume**: 29.1 Å³ per atom
**Space group**: Pm-3m, No. 221
**Formation energy from raw total energies**: -746 meV/atom

---

Record 2
VASP calculation (PBE-GGA) on an optimized crystal structure of Pr2Ga3Au6.

Cell: 7.794 7.794 4.481 Å, 90.00 90.00 120.00°
Positions (direct):
1 Pr 0.333 0.667 0.000
2 Pr 0.667 0.333 0.000
3 Ga 0.000 0.632 0.500
4 Ga 0.368 0.368 0.500
5 Ga 0.632 0.000 0.500
6 Au 0.000 0.309 0.500
7 Au 0.000 0.791 0.000
8 Au 0.209 0.209 0.000
9 Au 0.309 0.000 0.500
10 Au 0.691 0.691 0.500
11 Au 0.791 0.000 0.000

Calculated values
**Size of the total moment**: 0.0 μB per cell
**Calculated volume**: 21.4 Å³ per atom
**Energy**: -4.05 eV per atom
**Space group**: P-62m, No. 189

---

Record 3
VASP calculation (PBE-GGA) on an optimized crystal structure of Na3Y2AlO6.

Cell: 5.676 5.676 5.834 Å, 99.07 99.07 120.18°
Positions (direct):
1 Na 0.000 0.000 0.000
2 Na 0.346 0.654 0.000
3 Na 0.654 0.346 0.000
4 Y 0.167 0.833 0.500
5 Y 0.833 0.167 0.500
6 Al 0.500 0.500 0.500
7 O 0.135 0.434 0.296
8 O 0.267 0.267 0.698
9 O 0.434 0.135 0.296
10 O 0.566 0.865 0.704
11 O 0.733 0.733 0.302
12 O 0.865 0.566 0.704

Calculated values
**Size of the total moment**: 0.0 μB per cell
**Calculated volume**: 12.8 Å³ per atom
**Space group**: C2/m, No. 12
**Formation energy from raw total energies**: -2607 meV/atom

---

| no. | theoretical density (g/cm3) |
| --- | --- |
| 1 | 5.81 |
| 2 | 11.78 |
| 3 | 3.98 |